[1]
Crystalline CrCd2Fe at its relaxed geometry, computed with GGA-PBE.

Results
As for the crystal system: orthorhombic. As for the total magnetic moment: 4.297 μB/cell. Its theoretical density is 8.467 g/cm3. The relative energy among the computed polymorphs comes out at 135 meV/atom. As for the volume: 16.31 A^3/atom. For the raw total energy, the calculation gives -36.7 eV/cell.

Cell lengths 3.119, 4.534, 9.228 Å; angles 90.00, 90.00, 90.00 degrees
Space group Cmm2 (No. 35)
Inequivalent atoms, fractional coordinates:
Cr  0.000  0.000  0.000 [2 per cell]
Cd  0.000  0.000  0.438 [2 per cell]
Cd  0.000  0.500  0.745 [2 per cell]
Fe  0.000  0.500  0.185 [2 per cell]



[2]
Crystalline CrCd2Fe at its relaxed geometry, computed with GGA-PBE.

Results
As for the crystal system: trigonal. As for the total magnetic moment: 18.835 μB/cell. Its theoretical density is 7.906 g/cm3. The relative energy among the computed polymorphs comes out at 283 meV/atom. As for the volume: 17.47 A^3/atom. For the raw total energy, the calculation gives -53.3 eV/cell.

Cell lengths 2.9446, 2.9446, 27.9149 Å; angles 90.00, 90.00, 120.00 degrees
Space group R-3m (No. 166, hexagonal axes)
Inequivalent atoms, fractional coordinates:
Cr  0.0000  0.0000  0.0000 [3 per cell]
Cd  0.0000  0.0000  0.2483 [6 per cell]
Fe  0.0000  0.0000  0.5000 [3 per cell]



[3]
Crystalline CrCd2Fe at its relaxed geometry, computed with GGA-PBE.

Results
As for the crystal system: cubic. As for the total magnetic moment: 23.667 μB/cell. Its theoretical density is 8.025 g/cm3. The relative energy among the computed polymorphs comes out at 333 meV/atom. As for the volume: 17.21 A^3/atom. For the raw total energy, the calculation gives -70.2 eV/cell.

Cell lengths 6.506, 6.506, 6.506 Å; angles 90.00, 90.00, 90.00 degrees
Space group F-43m (No. 216)
Inequivalent atoms, fractional coordinates:
Cr  0.000  0.000  0.000 [4 per cell]
Cd  0.000  0.000  0.500 [4 per cell]
Cd  0.250  0.250  0.750 [4 per cell]
Fe  0.250  0.250  0.250 [4 per cell]



[4]
Crystalline Cr2CdFe2 at its relaxed geometry, computed with GGA-PBE.

Results
As for the crystal system: tetragonal. As for the total magnetic moment: 2.056 μB/cell. Its theoretical density is 8.377 g/cm3. The relative energy among the computed polymorphs comes out at 53 meV/atom. As for the volume: 13.01 A^3/atom. For the raw total energy, the calculation gives -70.5 eV/cell.

Cell lengths 7.071, 7.071, 2.602 Å; angles 90.00, 90.00, 90.00 degrees
Space group P4/mbm (No. 127)
Inequivalent atoms, fractional coordinates:
Cr  0.115  0.385  0.000 [4 per cell]
Cd  0.000  0.000  0.000 [2 per cell]
Fe  0.170  0.670  0.500 [4 per cell]